{"formula": "Cr23N6", "functional": "PBE", "state": "optimized geometry", "lattice": [[6.4405, 0.0000, 3.7184], [2.1468, 6.0722, 3.7184], [0.0000, 0.0000, 7.4369]], "species": ["Cr", "Cr", "Cr", "Cr", "Cr", "Cr", "Cr", "Cr", "Cr", "Cr", "Cr", "Cr", "Cr", "Cr", "Cr", "Cr", "Cr", "Cr", "Cr", "Cr", "Cr", "Cr", "Cr", "N", "N", "N", "N", "N", "N"], "frac_coords": [[0.0000, 0.0000, 0.0000], [0.7500, 0.7500, 0.7500], [0.2500, 0.2500, 0.2500], [0.6190, 0.6190, 0.1431], [0.6190, 0.6190, 0.6190], [0.6190, 0.1431, 0.6190], [0.1431, 0.6190, 0.6190], [0.3810, 0.3810, 0.8569], [0.3810, 0.3810, 0.3810], [0.3810, 0.8569, 0.3810], [0.8569, 0.3810, 0.3810], [0.6638, 0.0000, 0.3362], [0.0000, 0.6638, 0.3362], [0.0000, 0.0000, 0.3362], [0.0000, 0.6638, 0.0000], [0.6638, 0.0000, 0.0000], [0.0000, 0.0000, 0.6638], [0.0000, 0.3362, 0.0000], [0.0000, 0.3362, 0.6638], [0.6638, 0.3362, 0.0000], [0.3362, 0.0000, 0.6638], [0.3362, 0.0000, 0.0000], [0.3362, 0.6638, 0.0000], [0.7233, 0.2767, 0.7233], [0.2767, 0.7233, 0.7233], [0.2767, 0.2767, 0.7233], [0.2767, 0.7233, 0.2767], [0.7233, 0.2767, 0.2767], [0.7233, 0.7233, 0.2767]], "dos_at_fermi_per_ev_atom": 0.950, "dft_energy_ev_per_atom": -9.48, "spacegroup": "Fm-3m"}



{"formula": "TeBrCl", "functional": "PBE", "state": "optimized geometry", "lattice": [[-0.3994, -1.1881, -5.1490], [3.5246, -0.5254, -0.1522], [-0.7420, -5.3513, 1.2924]], "species": ["Te", "Br", "Cl"], "frac_coords": [[0.0000, 0.0000, 0.0000], [0.0000, 0.0000, 0.5000], [0.5000, 0.0000, 0.0000]], "dos_at_fermi_per_ev_atom": 0.205, "dft_energy_ev_per_atom": -2.47, "polymorph_energy_mev_per_atom": 116, "spacegroup": "Pmmm"}



| no. | ΔE_f (raw) (eV per atom) |
| --- | --- |
| 1 | -0.126 |
| 2 | -0.253 |